No. 1
DFT (PBE-GGA) results for an optimized crystal structure of Sc6Cd3Tc.

The value obtained for the volume is 21.615 Å³ per atom. The calculation puts the total energy at -107.0 eV/cell.

The space group is P2_1/m (No. 11) and the conventional cell measures 8.571, 4.974 and 10.679 Å, with angles of 90.00, 108.27 and 90.00 degrees. The inequivalent atoms are Sc at (0.037, 0.250, 0.414), Sc at (0.192, 0.750, 0.171), Sc at (0.285, 0.250, 0.009), Sc at (0.351, 0.750, 0.828), Sc at (0.375, 0.250, 0.332), Sc at (0.400, 0.250, 0.642), Cd at (0.017, 0.750, 0.877), Cd at (0.101, 0.250, 0.722), Cd at (0.273, 0.750, 0.475) and Tc at (0.462, 0.750, 0.099).

=====

No. 2
DFT (PBE-GGA) results for an optimized crystal structure of CaY2Tc.

The value obtained for the volume is 29.627 Å³ per atom. Its energy above the most stable polymorph in this dataset is 0.78 eV/f.u.

The space group is R-3m (No. 166, hexagonal axes) and the conventional cell measures 3.6316, 3.6316 and 31.1276 Å, with angles of 90.00, 90.00 and 120.00 degrees. The inequivalent atoms are Ca at (0.0000, 0.0000, 0.0000), Y at (0.0000, 0.0000, 0.2281) and Tc at (0.0000, 0.0000, 0.5000).

=====

No. 3
DFT (PBE-GGA) results for an optimized crystal structure of LuNb6Cl18.

The value obtained for the volume is 27.187 Å³ per atom. The formation energy (no corrections) comes out at -1.44 eV per atom.

The space group is R-3 (No. 148, hexagonal axes) and the conventional cell measures 9.6105, 9.6105 and 25.4917 Å, with angles of 90.00, 90.00 and 120.00 degrees. The inequivalent atoms are Lu at (0.0000, 0.0000, 0.0000), Nb at (0.0493, 0.1982, 0.5477), Cl at (0.0081, 0.2264, 0.9414), Cl at (0.0505, 0.2640, 0.1675) and Cl at (0.0564, 0.2292, 0.3899).

=====

No. 4
DFT (PBE-GGA) results for an optimized crystal structure of LaTb2Nd5Y.

The value obtained for the volume is 34.957 Å³ per atom. The calculation puts the total energy at -172.8 eV/cell.

The space group is Cmc2_1 (No. 36) and the conventional cell measures 5.751, 20.332 and 10.762 Å, with angles of 90.00, 90.00 and 90.00 degrees. The inequivalent atoms are La at (0.000, 0.085, 0.000), Tb at (0.000, 0.384, 0.866), Tb at (0.000, 0.386, 0.279), Nd at (0.000, 0.019, 0.288), Nd at (0.000, 0.114, 0.569), Nd at (0.000, 0.203, 0.254), Nd at (0.000, 0.219, 0.860), Nd at (0.000, 0.483, 0.570) and Y at (0.000, 0.300, 0.558).

=====

No. 5
DFT (PBE-GGA) results for an optimized crystal structure of PmMg2AlSn2.

The value obtained for the volume is 24.528 Å³ per atom. The calculation puts the total energy at -42.9 eV/cell.

The space group is Pmc2_1 (No. 26) and the conventional cell measures 4.781, 8.770 and 7.020 Å, with angles of 90.00, 90.00 and 90.00 degrees. The inequivalent atoms are Pm at (0.000, 0.030, 0.000), Mg at (0.000, 0.342, 0.325), Mg at (0.500, 0.449, 0.023), Al at (0.500, 0.167, 0.700), Sn at (0.000, 0.338, 0.747) and Sn at (0.500, 0.158, 0.280).

=====

No. 6
DFT (PBE-GGA) results for an optimized crystal structure of LiCdRe2.

The value obtained for the volume is 15.875 Å³ per atom. The calculation puts the total energy at -26.0 eV/cell.

The space group is P2/m (No. 10) and the conventional cell measures 2.669, 4.779 and 5.048 Å, with angles of 90.00, 99.54 and 90.00 degrees. The inequivalent atoms are Li at (0.000, 0.000, 0.000), Cd at (0.500, 0.000, 0.500) and Re at (0.279, 0.500, 0.765).